Below is a relaxed structure of Tb2ZnCr, with properties calculated at the PBE level.

a = 7.1621 Å, b = 7.1621 Å, c = 7.1621 Å
α = 90.00°, β = 90.00°, γ = 90.00°
Closest atoms and distances in Å follow each position.
Space group Fm-3m (No. 225)
Inequivalent atoms, fractional coordinates:
Tb 0.2500 0.2500 0.2500 x8  4 Cr 3.10, 4 Zn 3.10
Zn 0.0000 0.0000 0.0000 x4  8 Tb 3.10
Cr 0.0000 0.0000 0.5000 x4  8 Tb 3.10

Summary:
E_form in eV/atom: 0.013
Size of the total moment in μB/atom: 0.864
ρ in g/cm³: 7.9
Distance to the lowest polymorph of the same formula in eV/atom: 0.000